# 1
A plane-wave DFT calculation with PBE-GGA was carried out for a geometry-optimized HfTiO2F structure.

a = 3.9369 Å, b = 3.9369 Å, c = 3.9378 Å
α = 90.00°, β = 90.00°, γ = 90.00°
Closest atoms and distances in Å follow each position.
Sites, in units of the cell vectors:
1 F 0.0000 0.0000 0.5000  2 Ti 1.97
2 Hf 0.5000 0.5000 0.5000  4 F 2.78, 8 O 2.78
3 O 0.0000 0.5000 0.0000  2 Ti 1.97
4 O 0.5000 0.0000 0.0000  2 Ti 1.97
5 Ti 0.0000 0.0000 0.0000  4 O 1.97, 2 F 1.97

- space-group type = P4/mmm
- size of the total moment (μB/f.u.) = 1.9
- raw formation energy (eV/f.u.) = -9.31

# 2
A plane-wave DFT calculation with PBE-GGA was carried out for a geometry-optimized CsC structure.

a = 8.4808 Å, b = 6.1211 Å, c = 10.2644 Å
α = 90.00°, β = 90.00°, γ = 90.00°
Closest atoms and distances in Å follow each position.
Sites, in units of the cell vectors:
1 Cs 0.3648 0.2458 0.8354  6 C 3.28-3.42
2 Cs 0.8648 0.2542 0.1646  6 C 3.28-3.42
3 Cs 0.6352 0.7458 0.6646  6 C 3.28-3.42
4 Cs 0.1352 0.7542 0.3354  6 C 3.28-3.42
5 Cs 0.9749 0.2328 0.5871  4 C 3.25-3.55
6 Cs 0.4749 0.2672 0.4129  4 C 3.25-3.55
7 Cs 0.0251 0.7328 0.9129  4 C 3.25-3.55
8 Cs 0.5251 0.7672 0.0871  4 C 3.25-3.55
9 C 0.2627 0.1727 0.1549  1 C 1.27
10 C 0.7627 0.3273 0.8451  1 C 1.27
11 C 0.7373 0.6727 0.3451  1 C 1.27
12 C 0.2373 0.8273 0.6549  1 C 1.27
13 C 0.7531 0.8748 0.3702  1 C 1.27
14 C 0.2531 0.6252 0.6298  1 C 1.27
15 C 0.2469 0.3748 0.1298  1 C 1.27
16 C 0.7469 0.1252 0.8702  1 C 1.27

- ΔE to the lowest computed polymorph (eV/f.u.) = 0.03
- space-group type = P2_12_12_1
- calculated formation energy (meV/atom) = 325
- size of the total moment (μB/f.u.) = 0.0

# 3
A plane-wave DFT calculation with PBE-GGA was carried out for a geometry-optimized Ca3Ho structure.

a = 5.9725 Å, b = 5.9725 Å, c = 5.9725 Å
α = 60.00°, β = 60.00°, γ = 60.00°
Closest atoms and distances in Å follow each position.
Sites, in units of the cell vectors:
1 Ca 0.0000 0.0000 0.0000  8 Ca 3.66
2 Ca 0.7500 0.7500 0.7500  4 Ho 3.66, 4 Ca 3.66
3 Ca 0.2500 0.2500 0.2500  4 Ho 3.66, 4 Ca 3.66
4 Ho 0.5000 0.5000 0.5000  8 Ca 3.66

- ΔE to the lowest computed polymorph (eV/f.u.) = 0.04
- space-group type = Fm-3m
- calculated formation energy (meV/atom) = 134
- size of the total moment (μB/f.u.) = 0.0

# 4
A plane-wave DFT calculation with PBE-GGA was carried out for a geometry-optimized BeTlBiIr2 structure.

a = 5.0429 Å, b = 5.8725 Å, c = 5.0429 Å
α = 90.00°, β = 90.00°, γ = 90.00°
Closest atoms and distances in Å follow each position.
Sites, in units of the cell vectors:
1 Be 0.5000 0.5000 0.5000  4 Tl 3.57, 8 Ir 3.87
2 Tl 0.0000 0.5000 0.0000  2 Bi 2.94
3 Ir 0.0000 0.0000 0.5000  2 Bi 2.52
4 Ir 0.5000 0.0000 0.0000  2 Bi 2.52
5 Bi 0.0000 0.0000 0.0000  4 Ir 2.52

- space-group type = P4/mmm
- calculated formation energy (meV/atom) = 2004
- size of the total moment (μB/f.u.) = 0.0